VASP calculation (PBE) on TmMgZn2Ga2 after structural relaxation.

a = 4.3575 Å, b = 4.3575 Å, c = 6.7576 Å
α = 90.00°, β = 90.00°, γ = 120.00°
Last column: nearest neighbours and their distance in Å.
Fractional coordinates of all 6 atoms:
Tm 0.0000 0.0000 0.0000  6 Ga 3.02, 6 Zn 3.09, 2 Mg 3.38
Mg 0.0000 0.0000 0.5000  6 Zn 2.97, 6 Ga 3.04
Zn 0.3333 0.6667 0.7348  3 Ga 2.52
Zn 0.6667 0.3333 0.2652  3 Ga 2.52
Ga 0.3333 0.6667 0.2476  3 Zn 2.52
Ga 0.6667 0.3333 0.7524  3 Zn 2.52

## Properties
Symmetry: P-3m1
Fermi-level density of states: 1.23 states/eV/f.u.
Calculated formation energy: -0.38 eV/atom

=====

VASP calculation (PBE) on YOs2W after structural relaxation.

a = 4.6766 Å, b = 4.6766 Å, c = 3.1440 Å
α = 90.00°, β = 90.00°, γ = 90.00°
Last column: nearest neighbours and their distance in Å.
Fractional coordinates of all 4 atoms:
Y 0.0000 0.0000 0.0000  8 Os 2.82, 2 Y 3.14
Os 0.0000 0.5000 0.5000  4 W 2.82, 4 Y 2.82, 2 Os 3.14
Os 0.5000 0.0000 0.5000  4 W 2.82, 4 Y 2.82, 2 Os 3.14
W 0.5000 0.5000 0.0000  8 Os 2.82, 2 W 3.14

## Properties
Excess energy over the best structure of this formula in the dataset: 186 meV/atom
Symmetry: P4/mmm
Fermi-level density of states: 2.90 states/eV/f.u.
Calculated formation energy: 0.21 eV/atom

=====

VASP calculation (PBE) on Be2Nb2GaOs5 after structural relaxation.

a = 9.3523 Å, b = 9.3523 Å, c = 3.1306 Å
α = 90.00°, β = 90.00°, γ = 90.00°
Last column: nearest neighbours and their distance in Å.
Fractional coordinates of all 20 atoms:
Be 0.1246 0.3754 0.0000  6 Os 2.27
Be 0.3754 0.8754 0.0000  6 Os 2.27
Be 0.6246 0.1246 0.0000  6 Os 2.27
Be 0.8754 0.6246 0.0000  6 Os 2.27
Nb 0.1751 0.6751 0.0000  3 Be 2.65-2.84, 6 Os 2.80-2.88
Nb 0.3249 0.1751 0.0000  3 Be 2.65-2.84, 6 Os 2.80-2.88
Nb 0.6751 0.8249 0.0000  3 Be 2.65-2.84, 6 Os 2.80-2.88
Nb 0.8249 0.3249 0.0000  3 Be 2.65-2.84, 6 Os 2.80-2.88
Ga 0.0000 0.0000 0.0000  8 Os 2.59
Ga 0.5000 0.5000 0.0000  8 Os 2.59
Os 0.0000 0.5000 0.5000  4 Be 2.27
Os 0.0686 0.2093 0.5000  2 Be 2.27
Os 0.2093 0.9314 0.5000  2 Be 2.27
Os 0.2907 0.4314 0.5000  2 Be 2.27
Os 0.4314 0.7093 0.5000  2 Be 2.27
Os 0.5000 0.0000 0.5000  4 Be 2.27
Os 0.5686 0.2907 0.5000  2 Be 2.27
Os 0.7093 0.5686 0.5000  2 Be 2.27
Os 0.7907 0.0686 0.5000  2 Be 2.27
Os 0.9314 0.7907 0.5000  2 Be 2.27

## Properties
Symmetry: P4/mbm
Fermi-level density of states: 7.29 states/eV/f.u.
Calculated formation energy: -0.20 eV/atom

=====

VASP calculation (PBE) on MgOs4 after structural relaxation.

a = 4.8081 Å, b = 4.8081 Å, c = 4.8081 Å
α = 109.47°, β = 109.47°, γ = 109.47°
Last column: nearest neighbours and their distance in Å.
Fractional coordinates of all 5 atoms:
Mg 0.0000 0.0000 0.0000  8 Os 2.40
Os 0.0000 0.0000 0.5000  2 Mg 2.40
Os 0.0000 0.5000 0.0000  2 Mg 2.40
Os 0.5000 0.0000 0.0000  2 Mg 2.40
Os 0.5000 0.5000 0.5000  2 Mg 2.40

## Properties
Excess energy over the best structure of this formula in the dataset: 1696 meV/atom
Symmetry: Im-3m
Fermi-level density of states: 8.20 states/eV/f.u.
Calculated formation energy: 1.99 eV/atom